The following is a DFT calculation (PBE) of a geometry-optimized CsTlSbO3 structure.

Calculated values
Its uncorrected formation energy is -1.10 eV per atom. The density of states at the Fermi level is 2.3 states/eV/cell. The symmetry is C2/c (15).

Lattice parameters (Å, degrees): 7.919 7.919 5.827 94.72 94.72 126.05
Element x y z (fractional)
Cs  0.100  0.900  0.750
Cs  0.900  0.100  0.250
Tl  0.284  0.716  0.250
Tl  0.716  0.284  0.750
Sb  0.447  0.553  0.750
Sb  0.553  0.447  0.250
O  0.297  0.364  0.015
O  0.307  0.693  0.750
O  0.364  0.297  0.515
O  0.636  0.703  0.485
O  0.693  0.307  0.250
O  0.703  0.636  0.985

=====

The following is a DFT calculation (PBE) of a geometry-optimized Cs3TmSb2O9 structure.

Calculated values
Its uncorrected formation energy is -1.55 eV per atom. The density of states at the Fermi level is 11.2 states/eV/cell. The symmetry is P-3m1 (164).

Lattice parameters (Å, degrees): 6.049 6.049 7.426 90.00 90.00 120.00
Element x y z (fractional)
Cs  0.000  0.000  0.000
Cs  0.333  0.667  0.664
Cs  0.667  0.333  0.336
Tm  0.000  0.000  0.500
Sb  0.333  0.667  0.164
Sb  0.667  0.333  0.836
O  0.000  0.500  0.000
O  0.176  0.352  0.317
O  0.176  0.824  0.317
O  0.352  0.176  0.683
O  0.500  0.000  0.000
O  0.500  0.500  0.000
O  0.648  0.824  0.317
O  0.824  0.176  0.683
O  0.824  0.648  0.683

=====

The following is a DFT calculation (PBE) of a geometry-optimized Cs3TmSb2O6 structure.

Calculated values
Its uncorrected formation energy is -1.95 eV per atom. The density of states at the Fermi level is 0.0 states/eV/cell. The symmetry is P-3m1 (164).

Lattice parameters (Å, degrees): 6.288 6.288 7.964 90.00 90.00 120.00
Element x y z (fractional)
Cs  0.000  0.000  0.000
Cs  0.333  0.667  0.677
Cs  0.667  0.333  0.323
Tm  0.000  0.000  0.500
Sb  0.333  0.667  0.226
Sb  0.667  0.333  0.774
O  0.171  0.342  0.336
O  0.171  0.829  0.336
O  0.342  0.171  0.664
O  0.658  0.829  0.336
O  0.829  0.171  0.664
O  0.829  0.658  0.664

=====

The following is a DFT calculation (PBE) of a geometry-optimized Cs2USbO6 structure.

Calculated values
Its uncorrected formation energy is -2.11 eV per atom. The density of states at the Fermi level is 2.5 states/eV/cell. The symmetry is I4mm (107).

Lattice parameters (Å, degrees): 7.012 7.012 7.012 130.16 130.16 73.15
Element x y z (fractional)
Cs  0.000  0.500  0.500
Cs  0.500  0.000  0.500
U  0.231  0.231  0.000
Sb  0.766  0.766  0.000
O  0.062  0.062  0.000
O  0.400  0.400  0.000
O  0.488  0.488  0.529
O  0.488  0.958  0.000
O  0.958  0.488  0.000
O  0.958  0.958  0.471

=====

- Look up the uncorrected formation energy of the fourth one.
  -2.11 eV per atom